# 1
VHg4P2O9 PBEsol optimized geometry; SG = Pnma; ΔE_f (raw) = -1557 meV/atom; DFT total energy = -5.98 eV/atom
1.0
6.941 0.000 0.000
0.000 16.580 0.000
0.000 0.000 9.166
V Hg P O
4 16 8 36
Direct
0.106 0.250 0.245 V
0.394 0.750 0.745 V
0.606 0.250 0.255 V
0.894 0.750 0.755 V
0.139 0.578 0.251 Hg
0.139 0.922 0.251 Hg
0.142 0.598 0.527 Hg
0.142 0.902 0.527 Hg
0.358 0.098 0.027 Hg
0.358 0.402 0.027 Hg
0.361 0.078 0.751 Hg
0.361 0.422 0.751 Hg
0.639 0.578 0.249 Hg
0.639 0.922 0.249 Hg
0.642 0.598 0.973 Hg
0.642 0.902 0.973 Hg
0.858 0.098 0.473 Hg
0.858 0.402 0.473 Hg
0.861 0.078 0.749 Hg
0.861 0.422 0.749 Hg
0.146 0.611 0.890 P
0.146 0.889 0.890 P
0.354 0.111 0.390 P
0.354 0.389 0.390 P
0.646 0.611 0.610 P
0.646 0.889 0.610 P
0.854 0.111 0.110 P
0.854 0.389 0.110 P
0.037 0.165 0.102 O
0.037 0.335 0.102 O
0.139 0.555 0.755 O
0.139 0.945 0.755 O
0.143 0.750 0.686 O
0.160 0.556 0.024 O
0.160 0.944 0.024 O
0.171 0.166 0.386 O
0.171 0.334 0.386 O
0.329 0.666 0.886 O
0.329 0.834 0.886 O
0.340 0.056 0.524 O
0.340 0.444 0.524 O
0.357 0.250 0.186 O
0.361 0.055 0.255 O
0.361 0.445 0.255 O
0.463 0.665 0.602 O
0.463 0.835 0.602 O
0.537 0.165 0.398 O
0.537 0.335 0.398 O
0.639 0.555 0.745 O
0.639 0.945 0.745 O
0.643 0.750 0.814 O
0.660 0.556 0.476 O
0.660 0.944 0.476 O
0.671 0.166 0.114 O
0.671 0.334 0.114 O
0.829 0.666 0.614 O
0.829 0.834 0.614 O
0.840 0.056 0.976 O
0.840 0.444 0.976 O
0.857 0.250 0.314 O
0.861 0.055 0.245 O
0.861 0.445 0.245 O
0.963 0.665 0.898 O
0.963 0.835 0.898 O

# 2
ZrHgPO2 PBEsol optimized geometry; SG = P4/mmm; ΔE_f (raw) = -1324 meV/atom; DFT total energy = -6.51 eV/atom
1.0
3.979 0.000 0.000
0.000 3.979 0.000
0.000 0.000 5.639
Zr Hg P O
1 1 1 2
Direct
0.000 0.000 0.000 Zr
0.500 0.500 0.500 Hg
0.000 0.000 0.500 P
0.000 0.500 0.000 O
0.500 0.000 0.000 O

# 3
Hg3PdO PBEsol optimized geometry; SG = Pm-3m; ΔE_f (raw) = 569 meV/atom; DFT total energy = -2.01 eV/atom
1.0
5.132 0.000 0.000
0.000 5.132 0.000
0.000 0.000 5.132
Hg Pd O
3 1 1
Direct
0.000 0.000 0.500 Hg
0.000 0.500 0.000 Hg
0.500 0.000 0.000 Hg
0.000 0.000 0.000 Pd
0.500 0.500 0.500 O

# 4
HgPd3O PBEsol optimized geometry; SG = Pm-3m; ΔE_f (raw) = -70 meV/atom; DFT total energy = -4.81 eV/atom
1.0
4.185 0.000 0.000
0.000 4.185 0.000
0.000 0.000 4.185
Hg Pd O
1 3 1
Direct
0.000 0.000 0.000 Hg
0.000 0.500 0.500 Pd
0.500 0.000 0.500 Pd
0.500 0.500 0.000 Pd
0.500 0.500 0.500 O

# 5
Hg2Pt2O7 PBEsol optimized geometry; SG = Fd-3m; ΔE_f (raw) = -464 meV/atom; DFT total energy = -5.17 eV/atom
1.0
0.000 5.092 5.092
5.092 0.000 5.092
5.092 5.092 0.000
Hg Pt O
4 4 14
Direct
0.000 0.000 0.000 Hg
0.000 0.000 0.500 Hg
0.000 0.500 0.000 Hg
0.500 0.000 0.000 Hg
0.000 0.500 0.500 Pt
0.500 0.000 0.500 Pt
0.500 0.500 0.000 Pt
0.500 0.500 0.500 Pt
0.125 0.125 0.125 O
0.171 0.171 0.579 O
0.171 0.579 0.171 O
0.171 0.579 0.579 O
0.421 0.421 0.829 O
0.421 0.829 0.421 O
0.421 0.829 0.829 O
0.579 0.171 0.171 O
0.579 0.171 0.579 O
0.579 0.579 0.171 O
0.829 0.421 0.421 O
0.829 0.421 0.829 O
0.829 0.829 0.421 O
0.875 0.875 0.875 O

# 6
ZnHgPtO2 PBEsol optimized geometry; SG = P4/mmm; ΔE_f (raw) = 754 meV/atom; DFT total energy = -3.17 eV/atom
1.0
3.983 0.000 0.000
0.000 3.983 0.000
0.000 0.000 5.294
Zn Hg Pt O
1 1 1 2
Direct
0.000 0.000 0.000 Zn
0.500 0.500 0.500 Hg
0.500 0.500 0.000 Pt
0.000 0.500 0.500 O
0.500 0.000 0.500 O

# 7
Rb2HgRuO PBEsol optimized geometry; SG = P4/mmm; ΔE_f (raw) = 1058 meV/atom; DFT total energy = -2.55 eV/atom
1.0
6.471 0.000 0.000
0.000 6.471 0.000
0.000 0.000 5.055
Rb Hg Ru O
2 1 1 1
Direct
0.000 0.500 0.000 Rb
0.500 0.000 0.000 Rb
0.000 0.000 0.000 Hg
0.000 0.000 0.500 Ru
0.500 0.500 0.500 O

# 8
TiRe2HgO PBEsol optimized geometry; SG = P4/mmm; ΔE_f (raw) = 2338 meV/atom; DFT total energy = -5.82 eV/atom
1.0
4.485 0.000 0.000
0.000 4.485 0.000
0.000 0.000 5.137
Ti Re Hg O
1 2 1 1
Direct
0.000 0.000 0.000 Ti
0.000 0.500 0.000 Re
0.500 0.000 0.000 Re
0.000 0.000 0.500 Hg
0.500 0.500 0.500 O

# 9
HgRh3O PBEsol optimized geometry; SG = Pm-3m; ΔE_f (raw) = 140 meV/atom; DFT total energy = -5.91 eV/atom
1.0
4.102 0.000 0.000
0.000 4.102 0.000
0.000 0.000 4.102
Hg Rh O
1 3 1
Direct
0.000 0.000 0.000 Hg
0.000 0.500 0.500 Rh
0.500 0.000 0.500 Rh
0.500 0.500 0.000 Rh
0.500 0.500 0.500 O

# 10
HgRuO3 PBEsol optimized geometry; SG = Pm-3m; ΔE_f (raw) = 1059 meV/atom; DFT total energy = -4.24 eV/atom
1.0
4.112 0.000 0.000
0.000 4.112 0.000
0.000 0.000 4.112
Hg Ru O
1 1 3
Direct
0.000 0.000 0.000 Hg
0.500 0.500 0.500 Ru
0.000 0.000 0.500 O
0.000 0.500 0.000 O
0.500 0.000 0.000 O

# 11
Hg2SO PBEsol optimized geometry; SG = Fm-3m; ΔE_f (raw) = 361 meV/atom; DFT total energy = -2.33 eV/atom
1.0
6.386 0.000 0.000
0.000 6.386 0.000
0.000 0.000 6.386
Hg S O
8 4 4
Direct
0.250 0.250 0.250 Hg
0.250 0.250 0.750 Hg
0.250 0.750 0.250 Hg
0.250 0.750 0.750 Hg
0.750 0.250 0.250 Hg
0.750 0.250 0.750 Hg
0.750 0.750 0.250 Hg
0.750 0.750 0.750 Hg
0.000 0.000 0.000 S
0.000 0.500 0.500 S
0.500 0.000 0.500 S
0.500 0.500 0.000 S
0.000 0.000 0.500 O
0.000 0.500 0.000 O
0.500 0.000 0.000 O
0.500 0.500 0.500 O

# 12
Hg2Sb2O7 PBEsol optimized geometry; SG = Fd-3m; ΔE_f (raw) = -1061 meV/atom; DFT total energy = -5.33 eV/atom
1.0
0.000 5.210 5.210
5.210 0.000 5.210
5.210 5.210 0.000
Hg Sb O
4 4 14
Direct
0.000 0.000 0.000 Hg
0.000 0.000 0.500 Hg
0.000 0.500 0.000 Hg
0.500 0.000 0.000 Hg
0.000 0.500 0.500 Sb
0.500 0.000 0.500 Sb
0.500 0.500 0.000 Sb
0.500 0.500 0.500 Sb
0.125 0.125 0.125 O
0.178 0.178 0.572 O
0.178 0.572 0.178 O
0.178 0.572 0.572 O
0.428 0.428 0.822 O
0.428 0.822 0.428 O
0.428 0.822 0.822 O
0.572 0.178 0.178 O
0.572 0.178 0.572 O
0.572 0.572 0.178 O
0.822 0.428 0.428 O
0.822 0.428 0.822 O
0.822 0.822 0.428 O
0.875 0.875 0.875 O

# 13
Sc2HgO2 PBEsol optimized geometry; SG = I4/mmm; ΔE_f (raw) = -2134 meV/atom; DFT total energy = -6.99 eV/atom
1.0
4.111 0.000 0.000
0.000 4.111 0.000
0.000 0.000 10.664
Sc Hg O
4 2 4
Direct
0.000 0.500 0.250 Sc
0.000 0.500 0.750 Sc
0.500 0.000 0.250 Sc
0.500 0.000 0.750 Sc
0.000 0.000 0.000 Hg
0.500 0.500 0.500 Hg
0.000 0.000 0.284 O
0.000 0.000 0.716 O
0.500 0.500 0.216 O
0.500 0.500 0.784 O

# 14
Hg2SeO3 PBEsol optimized geometry; SG = P2_1/c; ΔE_f (raw) = -554 meV/atom; DFT total energy = -4.01 eV/atom
1.0
8.609 0.000 0.000
0.000 5.053 0.000
-6.278 0.000 10.172
Hg Se O
8 4 12
Direct
0.070 0.238 0.407 Hg
0.070 0.262 0.907 Hg
0.269 0.206 0.158 Hg
0.269 0.294 0.658 Hg
0.731 0.706 0.342 Hg
0.731 0.794 0.842 Hg
0.930 0.738 0.093 Hg
0.930 0.762 0.593 Hg
0.345 0.745 0.376 Se
0.345 0.755 0.876 Se
0.655 0.245 0.124 Se
0.655 0.255 0.624 Se
0.116 0.659 0.301 O
0.116 0.841 0.801 O
0.333 0.086 0.357 O
0.333 0.414 0.857 O
0.392 0.656 0.259 O
0.392 0.844 0.759 O
0.608 0.156 0.241 O
0.608 0.344 0.741 O
0.667 0.586 0.143 O
0.667 0.914 0.643 O
0.884 0.159 0.199 O
0.884 0.341 0.699 O

# 15
Hg12Se6O25 PBEsol optimized geometry; SG = R-3; ΔE_f (raw) = -443 meV/atom; DFT total energy = -4.19 eV/atom
1.0
7.659 4.422 3.429
-7.659 4.422 3.429
0.000 -8.844 3.429
Hg Se O
12 6 25
Direct
0.010 0.542 0.326 Hg
0.109 0.154 0.746 Hg
0.154 0.746 0.109 Hg
0.254 0.891 0.846 Hg
0.326 0.010 0.542 Hg
0.458 0.674 0.990 Hg
0.542 0.326 0.010 Hg
0.674 0.990 0.458 Hg
0.746 0.109 0.154 Hg
0.846 0.254 0.891 Hg
0.891 0.846 0.254 Hg
0.990 0.458 0.674 Hg
0.209 0.337 0.498 Se
0.337 0.498 0.209 Se
0.498 0.209 0.337 Se
0.502 0.791 0.663 Se
0.663 0.502 0.791 Se
0.791 0.663 0.502 Se
0.000 0.000 0.000 O
0.021 0.344 0.414 O
0.083 0.779 0.298 O
0.135 0.464 0.140 O
0.140 0.135 0.464 O
0.221 0.702 0.917 O
0.257 0.436 0.701 O
0.298 0.083 0.779 O
0.299 0.743 0.564 O
0.344 0.414 0.021 O
0.414 0.021 0.344 O
0.436 0.701 0.257 O
0.464 0.140 0.135 O
0.536 0.860 0.865 O
0.564 0.299 0.743 O
0.586 0.979 0.656 O
0.656 0.586 0.979 O
0.701 0.257 0.436 O
0.702 0.917 0.221 O
0.743 0.564 0.299 O
0.779 0.298 0.083 O
0.860 0.865 0.536 O
0.865 0.536 0.860 O
0.917 0.221 0.702 O
0.979 0.656 0.586 O

# 16
HgSeO3 PBEsol optimized geometry; SG = P2_1/c; ΔE_f (raw) = -620 meV/atom; DFT total energy = -4.65 eV/atom
1.0
4.315 0.000 0.000
0.000 10.252 0.000
-1.672 0.000 7.134
Hg Se O
4 4 12
Direct
0.108 0.172 0.409 Hg
0.108 0.328 0.909 Hg
0.892 0.672 0.091 Hg
0.892 0.828 0.591 Hg
0.335 0.577 0.676 Se
0.335 0.923 0.176 Se
0.665 0.077 0.824 Se
0.665 0.423 0.324 Se
0.001 0.138 0.980 O
0.001 0.362 0.480 O
0.166 0.526 0.861 O
0.166 0.974 0.361 O
0.493 0.720 0.771 O
0.493 0.780 0.271 O
0.507 0.220 0.729 O
0.507 0.280 0.229 O
0.834 0.026 0.639 O
0.834 0.474 0.139 O
0.999 0.638 0.520 O
0.999 0.862 0.020 O